Record 1
The following is a PBE calculation of an optimized crystal structure of Mg4AlSi6, from Alexandria via LeMat-Bulk.

total energy: -3.777 eV per atom
calculated volume: 201.96 Å³/cell
symmetry: C2/m (12)
formation energy from raw total energies: 101 meV/atom
size of the total moment: 0.0 μB/f.u.

```
Mg4AlSi6
1.0
-8.216 -1.594 -1.130
-6.830 -2.358 -4.372
0.761 -6.487 1.855
Si Mg Al
6 4 1
direct
0.052 0.052 0.252
0.191 0.191 0.345
0.809 0.809 0.655
0.212 0.212 0.710
0.948 0.948 0.748
0.788 0.788 0.290
0.667 0.667 0.010
0.333 0.333 0.990
0.420 0.420 0.404
0.580 0.580 0.596
0.500 0.500 0.000
```

=====

Record 2
The following is a PBE calculation of an optimized crystal structure of La2HoPu, from Alexandria via LeMat-Bulk.

total energy: -7.080 eV per atom
E above lowest polymorph: 0.000 eV/atom
calculated volume: 131.84 Å³/cell
symmetry: P4/mmm (123)
size of the total moment: 6.0 μB/f.u.

```
La2HoPu
1.0
3.602 0.000 0.000
0.000 3.602 0.000
0.000 0.000 10.164
Pu La Ho
1 2 1
direct
0.500 0.500 0.000
0.000 0.000 0.245
0.000 0.000 0.755
0.500 0.500 0.500
```

=====

Record 3
The following is a PBE calculation of an optimized crystal structure of RbNbTlOs2, from Alexandria via LeMat-Bulk.

total energy: -5.726 eV per atom
calculated volume: 135.35 Å³/cell
symmetry: P4/mmm (123)
size of the total moment: 0.0 μB/f.u.

```
RbNbTlOs2
1.0
4.866 0.000 0.000
0.000 5.715 0.000
0.000 0.000 4.866
Os Tl Nb Rb
2 1 1 1
direct
0.000 0.000 0.500
0.500 0.000 0.000
0.000 0.500 0.000
0.000 0.000 0.000
0.500 0.500 0.500
```

=====

Record 4
The following is a PBE calculation of an optimized crystal structure of Cs6Rb8Ag, from Alexandria via LeMat-Bulk.

total energy: -1.027 eV per atom
calculated volume: 1404.39 Å³/cell
symmetry: R-3 (148)
size of the total moment: 0.0 μB/f.u.

```
Cs6Rb8Ag
1.0
11.097 -0.073 3.580
2.585 10.792 3.580
-0.094 -0.073 11.660
Cs Ag Rb
6 1 8
direct
0.826 0.548 0.385
0.548 0.385 0.826
0.385 0.826 0.548
0.174 0.452 0.615
0.615 0.174 0.452
0.452 0.615 0.174
0.000 0.000 0.000
0.098 0.683 0.968
0.683 0.968 0.098
0.032 0.902 0.317
0.902 0.317 0.032
0.757 0.757 0.757
0.968 0.098 0.683
0.317 0.032 0.902
0.243 0.243 0.243
```

=====

Record 5
The following is a PBE calculation of an optimized crystal structure of BaZr2Sc2, from Alexandria via LeMat-Bulk.

total energy: -6.099 eV per atom
E above lowest polymorph: 0.000 eV/atom
calculated volume: 286.16 Å³/cell
symmetry: P4/mbm (127)
size of the total moment: 0.0 μB/f.u.

```
BaZr2Sc2
1.0
-7.243 5.219 2.007
-5.591 -6.787 -2.530
0.017 -1.206 3.198
Sc Zr Ba
4 4 2
direct
0.831 0.331 0.500
0.331 0.169 0.500
0.669 0.831 0.500
0.169 0.669 0.500
0.614 0.114 0.000
0.114 0.386 0.000
0.386 0.886 0.000
0.886 0.614 0.000
0.500 0.500 0.000
0.000 0.000 0.000
```

=====

Record 6
The following is a PBE calculation of an optimized crystal structure of Ni2HgCl, from Alexandria via LeMat-Bulk.

total energy: -2.756 eV per atom
E above lowest polymorph: 0.592 eV/atom
calculated volume: 65.55 Å³/cell
symmetry: F-43m (216)
formation energy from raw total energies: 672 meV/atom
size of the total moment: 0.5 μB/f.u.

```
Ni2HgCl
1.0
-2.985 0.687 3.331
-2.946 -3.253 1.105
0.438 -2.213 3.923
Hg Cl Ni
1 1 2
direct
0.750 0.750 0.750
0.500 0.500 0.500
0.250 0.250 0.250
0.000 0.000 0.000
```

=====

Record 7
The following is a PBE calculation of an optimized crystal structure of Na4P3H3O11, from Alexandria via LeMat-Bulk.

total energy: -6.085 eV per atom
calculated volume: 1019.37 Å³/cell
symmetry: Pbcn (60)
size of the total moment: 0.0 μB/f.u.

```
Na4P3H3O11
1.0
-1.931 1.611 6.497
6.808 -8.948 4.242
9.449 7.625 0.918
O Na P H
44 16 12 12
direct
0.075 0.349 0.724
0.097 0.120 0.960
0.103 0.586 0.828
0.149 0.497 0.449
0.597 0.380 0.460
0.097 0.620 0.040
0.603 0.914 0.328
0.851 0.003 0.449
0.500 0.750 0.188
0.575 0.151 0.224
0.103 0.086 0.172
0.925 0.651 0.276
0.851 0.503 0.551
0.000 0.750 0.688
0.159 0.211 0.572
0.500 0.250 0.812
0.403 0.120 0.460
0.659 0.789 0.928
0.159 0.711 0.428
0.649 0.003 0.949
0.351 0.497 0.949
0.341 0.211 0.072
0.897 0.414 0.172
0.000 0.250 0.312
0.425 0.349 0.224
0.397 0.586 0.328
0.841 0.289 0.572
0.575 0.651 0.776
0.351 0.997 0.051
0.841 0.789 0.428
0.403 0.620 0.540
0.397 0.086 0.672
0.149 0.997 0.551
0.925 0.151 0.724
0.659 0.289 0.072
0.425 0.849 0.776
0.649 0.503 0.051
0.597 0.880 0.540
0.897 0.914 0.828
0.075 0.849 0.276
0.603 0.414 0.672
0.903 0.880 0.040
0.341 0.711 0.928
0.903 0.380 0.960
0.712 0.185 0.406
0.315 0.506 0.693
0.288 0.315 0.406
0.212 0.815 0.094
0.185 0.006 0.807
0.185 0.506 0.193
0.685 0.494 0.307
0.712 0.685 0.594
0.288 0.815 0.594
0.685 0.994 0.693
0.315 0.006 0.307
0.788 0.185 0.906
0.212 0.315 0.906
0.788 0.685 0.094
0.815 0.494 0.807
0.815 0.994 0.193
0.000 0.750 0.338
0.711 0.403 0.564
0.289 0.097 0.564
0.289 0.597 0.436
0.789 0.403 0.064
0.211 0.597 0.936
0.000 0.250 0.662
0.711 0.903 0.436
0.500 0.250 0.162
0.211 0.097 0.064
0.789 0.903 0.936
0.500 0.750 0.838
0.500 0.500 0.000
0.541 0.810 0.240
0.459 0.690 0.240
0.500 0.000 0.000
0.959 0.310 0.260
0.041 0.690 0.740
0.459 0.190 0.760
0.000 0.000 0.500
0.959 0.810 0.740
0.000 0.500 0.500
0.541 0.310 0.760
0.041 0.190 0.260
```

=====

Record 8
The following is a PBE calculation of an optimized crystal structure of La5SmDy2Er, from Alexandria via LeMat-Bulk.

total energy: -4.499 eV per atom
calculated volume: 644.04 Å³/cell
symmetry: I4/mcm (140)
size of the total moment: 0.0 μB/f.u.

```
La5SmDy2Er
1.0
9.524 0.000 0.000
0.000 9.524 0.000
-4.762 -4.762 7.100
La Dy Er Sm
10 4 2 2
direct
0.500 0.500 0.000
0.934 0.434 0.270
0.066 0.566 0.730
0.836 0.934 0.270
0.664 0.164 0.730
0.566 0.664 0.730
0.164 0.066 0.730
0.434 0.336 0.270
0.336 0.836 0.270
0.000 0.000 0.000
0.892 0.608 0.000
0.392 0.892 0.000
0.608 0.108 0.000
0.108 0.392 0.000
0.250 0.750 0.500
0.750 0.250 0.500
0.750 0.750 0.500
0.250 0.250 0.500
```

=====

Record 9
The following is a PBE calculation of an optimized crystal structure of NiMo2Au, from Alexandria via LeMat-Bulk.

total energy: -7.437 eV per atom
E above lowest polymorph: 0.129 eV/atom
calculated volume: 61.96 Å³/cell
symmetry: P4/mmm (123)
size of the total moment: 0.0 μB/f.u.

```
NiMo2Au
1.0
3.321 0.000 0.000
0.000 3.321 0.000
0.000 0.000 5.617
Mo Au Ni
2 1 1
direct
0.000 0.000 0.043
0.000 0.000 0.457
0.500 0.500 0.750
0.500 0.500 0.250
```

=====

Record 10
The following is a PBE calculation of an optimized crystal structure of Hf5Co2Rh2, from Alexandria via LeMat-Bulk.

total energy: -9.279 eV per atom
calculated volume: 319.00 Å³/cell
symmetry: Cmce (64)
size of the total moment: 0.0 μB/f.u.

```
Hf5Co2Rh2
1.0
6.450 0.000 0.000
0.000 5.751 -2.956
0.000 0.621 8.280
Hf Rh Co
10 4 4
direct
0.183 0.182 0.728
0.000 0.000 0.000
0.317 0.953 0.272
0.683 0.047 0.728
0.817 0.547 0.728
0.317 0.682 0.728
0.817 0.818 0.272
0.183 0.453 0.272
0.500 0.500 0.000
0.683 0.318 0.272
0.000 0.777 0.554
0.500 0.723 0.446
0.500 0.277 0.554
0.000 0.223 0.446
0.127 0.629 0.000
0.873 0.371 0.000
0.373 0.129 0.000
0.627 0.871 0.000
```

=====

Record 11
The following is a PBE calculation of an optimized crystal structure of InCoNiAs, from Alexandria via LeMat-Bulk.

total energy: -5.113 eV per atom
E above lowest polymorph: 0.045 eV/atom
calculated volume: 128.06 Å³/cell
symmetry: I4mm (107)
size of the total moment: 0.7 μB/f.u.

```
InCoNiAs
1.0
3.066 0.000 0.000
0.000 3.066 0.000
0.000 0.000 13.620
In Ni As Co
2 2 2 2
direct
0.500 0.500 0.181
0.000 0.000 0.681
0.000 0.000 0.072
0.500 0.500 0.572
0.000 0.000 0.886
0.500 0.500 0.386
0.500 0.500 0.962
0.000 0.000 0.462
```

=====

Record 12
The following is a PBE calculation of an optimized crystal structure of CsCaYO3, from Alexandria via LeMat-Bulk.

total energy: -6.589 eV per atom
calculated volume: 289.82 Å³/cell
symmetry: P2_1/m (11)
formation energy from raw total energies: -2556 meV/atom
size of the total moment: 0.1 μB/f.u.

```
CsCaYO3
1.0
3.536 0.000 0.000
0.000 8.153 0.968
0.000 -2.154 9.798
O Cs Y Ca
6 2 2 2
direct
0.750 0.405 0.087
0.250 0.872 0.567
0.250 0.595 0.913
0.750 0.740 0.214
0.750 0.128 0.433
0.250 0.260 0.786
0.250 0.126 0.194
0.750 0.874 0.806
0.750 0.404 0.872
0.250 0.596 0.128
0.250 0.150 0.566
0.750 0.850 0.434
```